1.
! PBE Th2Ge3Ir4, optimized geometry; values from VASP
&SYSTEM
  ibrav = 0, nat = 18, ntyp = 3
/
ATOMIC_SPECIES
Th 232.04 Th.upf
Ge 72.64 Ge.upf
Ir 192.22 Ir.upf
ATOMIC_POSITIONS angstrom
Th 3.249 -1.408 -3.001
Th 5.267 -5.187 0.473
Th 5.332 -1.997 2.362
Th 3.184 -4.598 -4.890
Ge 0.000 0.000 0.000
Ge 0.532 -3.477 -3.082
Ge 5.271 -3.760 -2.738
Ge 2.178 -5.545 0.327
Ge 3.245 -2.835 0.210
Ge 6.338 -1.050 -2.854
Ir 7.387 -4.539 -1.494
Ir 0.063 -4.766 -0.917
Ir 1.129 -2.056 -1.034
Ir 8.453 -1.829 -1.611
Ir 5.363 -2.323 -4.937
Ir 3.153 -4.272 2.409
Ir 5.673 -2.259 -0.616
Ir 2.843 -4.336 -1.911
CELL_PARAMETERS angstrom
-2.133 -5.420 0.233
3.196 -1.533 -6.398
7.453 0.358 3.637
! Calculated formation energy   -0.75 eV per atom
! Electronic total energy   -7.88 eV per atom
! Density   14.54 Mg/m³
! Size of the total moment   0.00 μB/atom

***

2.
! PBE ThGe3Ir3, optimized geometry; values from VASP
&SYSTEM
  ibrav = 0, nat = 14, ntyp = 3
/
ATOMIC_SPECIES
Ge 72.64 Ge.upf
Ir 192.22 Ir.upf
Th 232.04 Th.upf
ATOMIC_POSITIONS angstrom
Ge 0.000 1.683 3.365
Ge 0.000 5.048 3.365
Ge 3.365 0.000 5.048
Ge 5.048 3.365 0.000
Ge 3.365 0.000 1.683
Ge 1.683 3.365 0.000
Ir 1.683 0.000 3.365
Ir 0.000 3.365 1.683
Ir 3.365 5.048 0.000
Ir 5.048 0.000 3.365
Ir 0.000 3.365 5.048
Ir 3.365 1.683 0.000
Th 3.365 3.365 3.365
Th 0.000 0.000 0.000
CELL_PARAMETERS angstrom
6.730 0.000 0.000
0.000 6.730 0.000
0.000 0.000 6.730
! Distance to the lowest polymorph of the same formula   2.510 eV per formula unit
! Calculated formation energy   -0.05 eV per atom
! Electronic total energy   -6.88 eV per atom
! Density   11.18 Mg/m³
! Size of the total moment   0.00 μB/atom

***

3.
! PBE ThGeIr, optimized geometry; values from VASP
&SYSTEM
  ibrav = 0, nat = 3, ntyp = 3
/
ATOMIC_SPECIES
Ge 72.64 Ge.upf
Ir 192.22 Ir.upf
Th 232.04 Th.upf
ATOMIC_POSITIONS angstrom
Ge 1.972 1.972 4.184
Ir 0.000 0.000 2.199
Th 1.972 1.972 1.262
CELL_PARAMETERS angstrom
3.944 0.000 0.000
0.000 3.944 0.000
-1.972 -1.972 4.497
! Calculated formation energy   -0.37 eV per atom
! Electronic total energy   -7.34 eV per atom
! Density   11.80 Mg/m³
! Size of the total moment   0.00 μB/atom

***

4.
! PBE Th2Ge2Ir5, optimized geometry; values from VASP
&SYSTEM
  ibrav = 0, nat = 9, ntyp = 3
/
ATOMIC_SPECIES
Th 232.04 Th.upf
Ge 72.64 Ge.upf
Ir 192.22 Ir.upf
ATOMIC_POSITIONS angstrom
Th 0.000 0.000 0.000
Th 3.583 -1.558 2.398
Ge 1.616 -2.362 -1.547
Ge 6.817 -4.624 1.934
Ir 1.364 -2.833 0.837
Ir 4.675 -4.273 3.052
Ir 3.125 -0.779 -0.461
Ir 6.436 -2.219 1.755
Ir 4.216 -3.493 0.194
CELL_PARAMETERS angstrom
-1.128 -3.989 -0.907
2.395 0.119 -3.501
7.166 -3.116 4.795
! Calculated formation energy   -0.74 eV per atom
! Electronic total energy   -8.34 eV per atom
! Density   15.80 Mg/m³
! Size of the total moment   0.00 μB/atom

***

5.
! PBE ThGeIr, optimized geometry; values from VASP
&SYSTEM
  ibrav = 0, nat = 24, ntyp = 3
/
ATOMIC_SPECIES
Th 232.04 Th.upf
Ge 72.64 Ge.upf
Ir 192.22 Ir.upf
ATOMIC_POSITIONS angstrom
Th -8.556 -1.919 -9.175
Th -6.247 -1.971 -3.941
Th -5.344 -1.109 -7.620
Th 0.705 -0.833 -1.993
Th -9.968 -2.323 -4.388
Th -2.919 -1.156 -2.383
Th 1.609 0.029 -5.673
Th -1.719 -0.786 -7.230
Ge -6.085 -3.946 -8.520
Ge -10.441 -3.625 -7.350
Ge -4.009 0.058 -5.054
Ge -0.629 -2.000 -4.559
Ge -8.083 -0.617 -6.213
Ge -3.437 -3.507 -7.767
Ge -1.201 1.565 -1.847
Ge -12.439 -0.296 -5.043
Ir 0.604 -2.862 -6.674
Ir -10.090 -4.634 -9.716
Ir -10.904 -1.103 -7.059
Ir -3.479 -2.453 -5.326
Ir -1.160 0.511 -4.287
Ir -5.243 0.921 -2.939
Ir -8.434 0.392 -3.847
Ir -7.620 -3.139 -6.504
CELL_PARAMETERS angstrom
-0.173 4.063 -1.758
2.390 -2.823 -6.760
-13.885 -2.300 -3.949
! Calculated formation energy   -0.93 eV per atom
! Electronic total energy   -7.89 eV per atom
! Density   13.23 Mg/m³
! Size of the total moment   0.00 μB/atom

***

6.
! PBE ThGeIr, optimized geometry; values from VASP
&SYSTEM
  ibrav = 0, nat = 3, ntyp = 3
/
ATOMIC_SPECIES
Ge 72.64 Ge.upf
Ir 192.22 Ir.upf
Th 232.04 Th.upf
ATOMIC_POSITIONS angstrom
Ge 0.620 2.224 1.284
Ir 0.620 0.000 0.000
Th 2.478 0.000 2.568
CELL_PARAMETERS angstrom
3.717 0.000 0.000
0.000 4.448 0.000
0.000 -2.224 3.852
! Calculated formation energy   -0.88 eV per atom
! Electronic total energy   -7.85 eV per atom
! Density   12.95 Mg/m³
! Size of the total moment   0.00 μB/atom